The following is a PBE+U calculation of a relaxed LiZnCo2O4 crystal, from the Alexandria database.

Cell: 5.986 8.275 6.013 Å, 90.00 90.00 90.00°
Space group Fmm2 (No. 42)
Asymmetric unit:
Li (0.000, 0.000, 0.000) (multiplicity 4)
Zn (0.000, 0.000, 0.502) (multiplicity 4)
Co (0.250, 0.250, 0.250) (multiplicity 8)
O (0.000, 0.249, 0.001) (multiplicity 8)
O (0.250, 0.000, 0.251) (multiplicity 8)

The total energy is -5.358 eV/atom. Its total magnetization is 0.653 μB per atom.